1.
Material: LiCoW2
Method: DFT, GGA-PBE
State: optimized geometry

a b c (Å): 4.1389 2.6392 5.1529
angles (deg): 77.36 90.00 90.00
Positions (direct):
W 0.0000 0.5077 0.4995
W 0.0000 0.9923 0.0005
Li 0.5000 0.7500 0.7500
Co 0.5000 0.2500 0.2500

Computed properties:
- space-group type = No. 10
- relative energy among the computed polymorphs (eV per atom) = 0.0885

=====

2.
Material: LiCo2W
Method: DFT, GGA-PBE
State: optimized geometry

a b c (Å): 2.9257 2.9257 5.6796
angles (deg): 90.00 90.00 90.00
Each line ends with the local moment (μB).
Positions (direct):
Co 0.0000 0.0000 0.4902  0.59
Co 0.0000 0.0000 0.0098  0.59
W 0.5000 0.5000 0.7500  0.10
Li 0.5000 0.5000 0.2500  -0.02

Computed properties:
- space-group type = No. 123
- energy (eV per atom) = -7.10

=====

3.
Material: LiCo2W
Method: DFT, GGA-PBE
State: optimized geometry

a b c (Å): 4.0754 4.0754 4.0754
angles (deg): 60.00 60.00 60.00
Each line ends with the local moment (μB).
Positions (direct):
Co 0.0000 0.0000 0.0000  0.97
Li 0.5000 0.5000 0.5000  0.01
Co 0.2500 0.2500 0.2500  1.61
W 0.7500 0.7500 0.7500  0.11

Computed properties:
- space-group type = No. 216
- energy (eV per atom) = -6.90